(1)
Compound: TiTl2C
Source: the Alexandria database
Functional: GGA-PBE
Structure: optimized geometry

abc: 4.8309 4.8309 4.8309
angles: 60.00 60.00 60.00
Sites, in units of the cell vectors:
Ti  0.0000  0.0000  0.0000
Tl  0.2500  0.2500  0.2500
Tl  0.7500  0.7500  0.7500
C  0.5000  0.5000  0.5000

Computed properties:
The total energy comes out at -15.736 eV for the cell shown. The total magnetization comes out at 1.9 μB/cell. Its relative energy among the computed polymorphs is 737 meV per atom. For the density of states at the Fermi level, the calculation gives 2.31 states/eV/cell.


(2)
Compound: UAlPd14
Source: the Alexandria database
Functional: GGA-PBE
Structure: optimized geometry

abc: 5.7342 5.7342 7.6813
angles: 90.00 90.00 90.00
Sites, in units of the cell vectors:
U  0.0000  0.0000  0.0000
Al  0.5000  0.5000  0.0000
Pd  0.0000  0.0000  0.5000
Pd  0.0000  0.5000  0.0000
Pd  0.0000  0.5000  0.5000
Pd  0.2519  0.2519  0.2446
Pd  0.2519  0.2519  0.7554
Pd  0.2519  0.7481  0.2446
Pd  0.2519  0.7481  0.7554
Pd  0.5000  0.0000  0.0000
Pd  0.5000  0.0000  0.5000
Pd  0.5000  0.5000  0.5000
Pd  0.7481  0.2519  0.2446
Pd  0.7481  0.2519  0.7554
Pd  0.7481  0.7481  0.2446
Pd  0.7481  0.7481  0.7554

Computed properties:
The total energy comes out at -93.189 eV for the cell shown. The total magnetization comes out at 0.0 μB/cell. For the density of states at the Fermi level, the calculation gives 14.78 states/eV/cell.


(3)
Compound: LaP2Os
Source: the Alexandria database
Functional: GGA-PBE
Structure: optimized geometry

abc: 5.6628 5.6628 5.6628
angles: 42.10 42.10 42.10
Sites, in units of the cell vectors:
La  0.0000  0.0000  0.0000
P  0.2147  0.2147  0.2147
P  0.7853  0.7853  0.7853
Os  0.5000  0.5000  0.5000

Computed properties:
The total energy comes out at -30.483 eV for the cell shown. The total magnetization comes out at 0.0 μB/cell. Its relative energy among the computed polymorphs is 0 meV per atom. For the density of states at the Fermi level, the calculation gives 2.31 states/eV/cell.


(4)
Compound: La3PrDy2Te6
Source: the Alexandria database
Functional: GGA-PBE
Structure: optimized geometry

abc: 7.7851 7.7851 7.8083
angles: 99.55 99.55 120.19
Sites, in units of the cell vectors:
La  0.0000  0.0000  0.0000
La  0.3397  0.6603  0.0000
La  0.6603  0.3397  0.0000
Pr  0.5000  0.5000  0.5000
Dy  0.1673  0.8327  0.5000
Dy  0.8327  0.1673  0.5000
Te  0.0769  0.4199  0.2600
Te  0.2343  0.2343  0.7334
Te  0.4199  0.0769  0.2600
Te  0.5801  0.9231  0.7400
Te  0.7657  0.7657  0.2666
Te  0.9231  0.5801  0.7400

Computed properties:
The total energy comes out at -65.256 eV for the cell shown. The total magnetization comes out at 0.0 μB/cell. For the energy relative to the elements, uncorrected, the calculation gives -1.470 eV/atom. For the density of states at the Fermi level, the calculation gives 7.13 states/eV/cell.